1.
Compound: BaMg2Bi2
Source: the Alexandria database
Functional: PBEsol
Structure: optimized geometry

Lattice parameters (Å, degrees): 4.871 4.871 8.206 90.00 90.00 120.00
Element x y z (fractional)
Mg1 0.333 0.667 0.623
Mg2 0.667 0.333 0.377
Bi1 0.667 0.333 0.739
Bi2 0.333 0.667 0.261
Ba1 0.000 0.000 0.000

Results
**Relative energy among the computed polymorphs**: 0.00 kcal/mol of atoms
**Symmetry**: P-3m1
**Crystal system**: trigonal
**E**: -3.454 eV per atom
**ΔH_f (0 K)**: -0.62 eV per atom


2.
Compound: BaMg2Bi2
Source: the Alexandria database
Functional: PBEsol
Structure: optimized geometry

Lattice parameters (Å, degrees): 4.632 4.632 8.102 106.61 106.61 90.00
Element x y z (fractional)
Mg1 0.250 0.750 0.500
Mg2 0.750 0.250 0.500
Bi1 0.376 0.376 0.751
Bi2 0.624 0.624 0.249
Ba1 0.000 0.000 0.000

Results
**Relative energy among the computed polymorphs**: 0.20 kcal/mol of atoms
**Symmetry**: I4/mmm
**Crystal system**: tetragonal
**E**: -3.445 eV per atom
**ΔH_f (0 K)**: -0.61 eV per atom


3.
Compound: BaMn3Bi
Source: the Alexandria database
Functional: PBEsol
Structure: optimized geometry

Lattice parameters (Å, degrees): 5.156 5.156 5.156 90.00 90.00 90.00
Each line ends with the local moment (μB).
Element x y z (fractional)
Mn1 0.000 0.500 0.000  3.56
Mn2 0.000 0.000 0.500  3.56
Mn3 0.500 0.000 0.000  3.56
Bi1 0.000 0.000 0.000  -0.14
Ba1 0.500 0.500 0.500  -0.17

Results
**Symmetry**: Pm-3m
**Crystal system**: cubic
**E**: -6.084 eV per atom
**ΔH_f (0 K)**: 1.06 eV per atom


4.
Compound: BaSr2MnBi
Source: the Alexandria database
Functional: PBEsol
Structure: optimized geometry

Lattice parameters (Å, degrees): 5.652 5.652 5.655 90.00 90.00 90.00
Each line ends with the local moment (μB).
Element x y z (fractional)
Sr1 0.000 0.500 0.000  -0.05
Sr2 0.500 0.000 0.000  -0.05
Mn1 0.000 0.000 0.000  2.81
Bi1 0.500 0.500 0.500  0.06
Ba1 0.000 0.000 0.500  -0.07

Results
**Symmetry**: P4/mmm
**Crystal system**: tetragonal
**E**: -3.767 eV per atom
**ΔH_f (0 K)**: 0.21 eV per atom


5.
Compound: BaBiMo3
Source: the Alexandria database
Functional: PBEsol
Structure: optimized geometry

Lattice parameters (Å, degrees): 5.177 5.177 5.177 90.00 90.00 90.00
Each line ends with the local moment (μB).
Element x y z (fractional)
Mo1 0.000 0.500 0.000  1.30
Mo2 0.000 0.000 0.500  1.30
Mo3 0.500 0.000 0.000  1.30
Bi1 0.000 0.000 0.000  -0.04
Ba1 0.500 0.500 0.500  0.07

Results
**Symmetry**: Pm-3m
**Crystal system**: cubic
**E**: -6.251 eV per atom
**ΔH_f (0 K)**: 2.10 eV per atom


6.
Compound: BaBi2Mo4O16
Source: the Alexandria database
Functional: PBEsol
Structure: optimized geometry

Lattice parameters (Å, degrees): 5.294 6.901 19.367 89.36 88.32 67.45
Element x y z (fractional)
Ba1 0.032 0.935 0.250
Ba2 0.968 0.065 0.750
Bi1 0.147 0.703 0.465
Bi2 0.849 0.297 0.965
Bi3 0.151 0.703 0.035
Bi4 0.853 0.297 0.535
Mo1 0.458 0.118 0.408
Mo2 0.747 0.516 0.151
Mo3 0.576 0.882 0.908
Mo4 0.736 0.516 0.349
Mo5 0.424 0.118 0.092
Mo6 0.542 0.882 0.592
Mo7 0.264 0.484 0.651
Mo8 0.253 0.484 0.849
O1 0.613 0.298 0.637
O2 0.387 0.702 0.363
O3 0.490 0.605 0.213
O4 0.693 0.089 0.893
O5 0.277 0.969 0.965
O6 0.406 0.514 0.930
O7 0.594 0.486 0.070
O8 0.754 0.969 0.535
O9 0.095 0.395 0.713
O10 0.708 0.834 0.669
O11 0.292 0.166 0.331
O12 0.267 0.723 0.675
O13 0.246 0.031 0.465
O14 0.782 0.911 0.393
O15 0.723 0.031 0.035
O16 0.920 0.486 0.430
O17 0.826 0.655 0.952
O18 0.905 0.605 0.287
O19 0.510 0.395 0.787
O20 0.458 0.834 0.831
O21 0.009 0.723 0.825
O22 0.218 0.089 0.607
O23 0.080 0.514 0.570
O24 0.911 0.702 0.137
O25 0.733 0.277 0.325
O26 0.481 0.345 0.452
O27 0.519 0.655 0.548
O28 0.307 0.911 0.107
O29 0.542 0.166 0.169
O30 0.174 0.345 0.048
O31 0.089 0.298 0.863
O32 0.991 0.277 0.175

Results
**Symmetry**: C2/c
**Crystal system**: monoclinic
**E**: -8.170 eV per atom


7.
Compound: BaBiSe2N
Source: the Alexandria database
Functional: PBEsol
Structure: optimized geometry

Lattice parameters (Å, degrees): 4.414 5.551 5.551 90.00 90.00 90.00
Each line ends with the local moment (μB).
Element x y z (fractional)
N1 0.500 0.000 0.000  0.64
Bi1 0.000 0.000 0.000  -0.01
Se1 0.000 0.000 0.500  0.10
Se2 0.000 0.500 0.000  0.10
Ba1 0.500 0.500 0.500  0.00

Results
**Symmetry**: P4/mmm
**Crystal system**: tetragonal
**E**: -4.727 eV per atom


8.
Compound: BaBiTe2N
Source: the Alexandria database
Functional: PBEsol
Structure: optimized geometry

Lattice parameters (Å, degrees): 4.392 6.318 6.318 90.00 90.00 90.00
Each line ends with the local moment (μB).
Element x y z (fractional)
N1 0.500 0.000 0.000  0.54
Te1 0.000 0.000 0.500  0.15
Te2 0.000 0.500 0.000  0.15
Bi1 0.500 0.500 0.500  -0.07
Ba1 0.000 0.000 0.000  0.01

Results
**Symmetry**: P4/mmm
**Crystal system**: tetragonal
**E**: -3.509 eV per atom